No. 1
Compound: Sr2ZnTe
Source: Alexandria
Functional: GGA-PBE
Structure: relaxed

Results
Formation energy from raw total energies: -0.723 eV/atom
Magnetic moment: 0.00 μB per cell
Density of states at the Fermi level: 2.36 states/eV per cell
Relative energy among the computed polymorphs: 92 meV per atom
SG: Imm2 (44)

Lattice parameters (Å, degrees): 8.365 8.365 8.365 150.19 148.77 43.72
Fractional coordinates of all 4 atoms:
Sr 0.000 0.000 0.000
Sr 0.750 0.250 0.500
Zn 0.333 0.833 0.500
Te 0.581 0.581 0.000

No. 2
Compound: ErPuSi3
Source: Alexandria
Functional: GGA-PBE
Structure: relaxed

Results
Formation energy from raw total energies: -0.596 eV/atom
Magnetic moment: 10.60 μB per cell
Density of states at the Fermi level: 19.46 states/eV per cell
SG: Cmcm (63)

Lattice parameters (Å, degrees): 12.406 12.406 3.927 90.00 90.00 161.01
Fractional coordinates of all 10 atoms:
Er 0.203 0.797 0.750
Er 0.797 0.203 0.250
Pu 0.071 0.929 0.250
Pu 0.929 0.071 0.750
Si 0.323 0.677 0.750
Si 0.381 0.619 0.250
Si 0.475 0.525 0.250
Si 0.525 0.475 0.750
Si 0.619 0.381 0.750
Si 0.677 0.323 0.250

No. 3
Compound: Cd2RePb
Source: Alexandria
Functional: GGA-PBE
Structure: relaxed

Results
Magnetic moment: 2.00 μB per cell
Density of states at the Fermi level: 0.29 states/eV per cell
Energy of formation from the pure elements: 0.9031 eV per atom
SG: I-42d (122)

Lattice parameters (Å, degrees): 6.551 6.551 6.551 100.10 100.10 130.48
Fractional coordinates of all 8 atoms:
Cd 0.071 0.125 0.446
Cd 0.375 0.929 0.054
Cd 0.679 0.625 0.554
Cd 0.875 0.321 0.946
Re 0.000 0.000 0.000
Re 0.750 0.250 0.500
Pb 0.250 0.750 0.500
Pb 0.500 0.500 0.000

No. 4
Compound: CeTiTe3
Source: Alexandria
Functional: GGA-PBE
Structure: relaxed

Results
Formation energy from raw total energies: -0.987 eV/atom
Magnetic moment: 7.96 μB per cell
Density of states at the Fermi level: 30.57 states/eV per cell
Relative energy among the computed polymorphs: 48 meV per atom
SG: Pbcm (57)

Lattice parameters (Å, degrees): 12.381 7.551 6.179 90.00 90.00 90.00
Fractional coordinates of all 20 atoms:
Ce 0.169 0.047 0.250
Ce 0.169 0.453 0.750
Ce 0.831 0.547 0.250
Ce 0.831 0.953 0.750
Ti 0.420 0.250 0.000
Ti 0.420 0.250 0.500
Ti 0.580 0.750 0.000
Ti 0.580 0.750 0.500
Te 0.029 0.750 0.000
Te 0.029 0.750 0.500
Te 0.260 0.065 0.750
Te 0.260 0.435 0.250
Te 0.416 0.579 0.750
Te 0.416 0.921 0.250
Te 0.584 0.079 0.750
Te 0.584 0.421 0.250
Te 0.740 0.565 0.750
Te 0.740 0.935 0.250
Te 0.971 0.250 0.000
Te 0.971 0.250 0.500

No. 5
Compound: Ce6CdS12
Source: Alexandria
Functional: GGA-PBE
Structure: relaxed

Results
Formation energy from raw total energies: -1.703 eV/atom
Magnetic moment: 2.32 μB per cell
Density of states at the Fermi level: 23.33 states/eV per cell
SG: R-3 (148)

Lattice parameters (Å, degrees): 7.998 7.998 7.998 100.21 100.21 100.21
Fractional coordinates of all 19 atoms:
Ce 0.115 0.633 0.797
Ce 0.203 0.885 0.367
Ce 0.367 0.203 0.885
Ce 0.633 0.797 0.115
Ce 0.797 0.115 0.633
Ce 0.885 0.367 0.203
Cd 0.500 0.500 0.500
S 0.068 0.323 0.920
S 0.080 0.932 0.677
S 0.178 0.560 0.439
S 0.323 0.920 0.068
S 0.439 0.178 0.560
S 0.440 0.561 0.822
S 0.560 0.439 0.178
S 0.561 0.822 0.440
S 0.677 0.080 0.932
S 0.822 0.440 0.561
S 0.920 0.068 0.323
S 0.932 0.677 0.080

No. 6
Compound: RbTl3F4
Source: Alexandria
Functional: GGA-PBE
Structure: relaxed

Results
Formation energy from raw total energies: -1.959 eV/atom
Magnetic moment: 0.00 μB per cell
Density of states at the Fermi level: 0.00 states/eV per cell
Relative energy among the computed polymorphs: 18 meV per atom
SG: Cmmm (65)

Lattice parameters (Å, degrees): 6.973 6.973 4.019 90.00 90.00 109.39
Fractional coordinates of all 8 atoms:
Rb 0.000 0.000 0.000
Tl 0.000 0.500 0.500
Tl 0.500 0.000 0.500
Tl 0.500 0.500 0.000
F 0.249 0.751 0.000
F 0.250 0.250 0.500
F 0.750 0.750 0.500
F 0.751 0.249 0.000

No. 7
Compound: AgPHS2
Source: Alexandria
Functional: GGA-PBE
Structure: relaxed

Results
Magnetic moment: 0.74 μB per cell
Density of states at the Fermi level: 4.55 states/eV per cell
Relative energy among the computed polymorphs: 742 meV per atom
SG: P4/mmm (123)

Lattice parameters (Å, degrees): 4.898 4.898 4.958 90.00 90.00 90.00
Fractional coordinates of all 5 atoms:
Ag 0.000 0.000 0.000
P 0.000 0.000 0.500
H 0.500 0.500 0.500
S 0.000 0.500 0.000
S 0.500 0.000 0.000

No. 8
Compound: SrLi2Tl6
Source: Alexandria
Functional: GGA-PBE
Structure: relaxed

Results
Magnetic moment: 0.00 μB per cell
Density of states at the Fermi level: 4.87 states/eV per cell
Energy of formation from the pure elements: -0.0116 eV per atom
SG: P-31m (162)

Lattice parameters (Å, degrees): 5.799 5.799 10.354 90.00 90.00 120.00
Fractional coordinates of all 9 atoms:
Sr 0.000 0.000 0.000
Li 0.333 0.667 0.500
Li 0.667 0.333 0.500
Tl 0.000 0.343 0.726
Tl 0.000 0.657 0.274
Tl 0.343 0.000 0.726
Tl 0.343 0.343 0.274
Tl 0.657 0.000 0.274
Tl 0.657 0.657 0.726